{
  "formula": "YHg2Ru",
  "functional": "GGA-PBE",
  "state": "relaxed",
  "lattice_angstrom": [[4.2343, 0.0000, 0.0000], [0.0000, 4.2343, 0.0000], [0.0000, 0.0000, 4.5912]],
  "species": ["Y", "Hg", "Hg", "Ru"],
  "fractional_positions": [[0.0000, 0.0000, 0.0000], [0.0000, 0.5000, 0.5000], [0.5000, 0.0000, 0.5000], [0.5000, 0.5000, 0.0000]],
  "ef_mev_per_atom": -50
}

=====

{
  "formula": "YHg2Ru",
  "functional": "GGA-PBE",
  "state": "relaxed",
  "lattice_angstrom": [[3.7654, 0.0000, 0.0000], [0.0000, 3.7654, 0.0000], [0.0000, 0.0000, 5.9433]],
  "species": ["Y", "Hg", "Hg", "Ru"],
  "fractional_positions": [[0.0000, 0.0000, 0.0000], [0.5000, 0.5000, 0.2676], [0.5000, 0.5000, 0.7324], [0.0000, 0.0000, 0.5000]],
  "ef_mev_per_atom": 24
}

=====

Calculated energy relative to the lowest polymorph listed for this composition, 87.0; 161.6 meV per atom (same order as the records).
Calculated total magnetization, 0.0; 0.7 μB per cell (same order as the records).